Run P
Here is an optimized crystal structure of RbSrAsSe2 from Alexandria. Energies are from PBE.

a b c (Å): 5.795 5.795 5.490
angles (deg): 90.00 90.00 90.00
Space group P4/mmm (No. 123)
Unique sites:
Rb (0.000, 0.000, 0.000) [1 per cell]
Sr (0.500, 0.500, 0.500) [1 per cell]
As (0.000, 0.000, 0.500) [1 per cell]
Se (0.000, 0.500, 0.000) [2 per cell]

Output
calculated volume: 36.88 Å³/atom
total magnetic moment: 0.0 μB per formula unit

=====

Run Q
Here is an optimized crystal structure of RbSrAsSe2 from Alexandria. Energies are from PBE.

a b c (Å): 5.930 5.930 6.021
angles (deg): 90.00 90.00 90.00
Space group P4/mmm (No. 123)
Unique sites:
Rb (0.000, 0.000, 0.000) [1 per cell]
Sr (0.500, 0.500, 0.500) [1 per cell]
As (0.500, 0.500, 0.000) [1 per cell]
Se (0.000, 0.500, 0.500) [2 per cell]

Output
calculated volume: 42.35 Å³/atom
total magnetic moment: 3.0 μB per formula unit

=====

It is run Q that is the most stable of them.

=====

Run P
Here is an optimized crystal structure of RbTaAs2Se from Alexandria. Energies are from PBE.

a b c (Å): 5.105 5.105 5.159
angles (deg): 90.00 90.00 90.00
Space group P4/mmm (No. 123)
Unique sites:
Rb (0.000, 0.000, 0.000) [1 per cell]
Ta (0.500, 0.500, 0.500) [1 per cell]
As (0.000, 0.500, 0.500) [2 per cell]
Se (0.500, 0.500, 0.000) [1 per cell]

Output
calculated volume: 26.89 Å³/atom
total magnetic moment: 0.0 μB per formula unit

=====

Run Q
Here is an optimized crystal structure of RbTaAs2Se from Alexandria. Energies are from PBE.

a b c (Å): 5.234 5.234 5.392
angles (deg): 90.00 90.00 90.00
Space group P4/mmm (No. 123)
Unique sites:
Rb (0.000, 0.000, 0.000) [1 per cell]
Ta (0.500, 0.500, 0.500) [1 per cell]
As (0.000, 0.500, 0.000) [2 per cell]
Se (0.000, 0.000, 0.500) [1 per cell]

Output
calculated volume: 29.54 Å³/atom
total magnetic moment: 0.0 μB per formula unit

=====

It is run P that is the most stable of them.

=====

Run P
Here is an optimized crystal structure of RbTcAsSe2 from Alexandria. Energies are from PBE.

a b c (Å): 5.165 5.165 4.805
angles (deg): 90.00 90.00 90.00
Space group P4/mmm (No. 123)
Unique sites:
Rb (0.000, 0.000, 0.000) [1 per cell]
Tc (0.500, 0.500, 0.500) [1 per cell]
As (0.500, 0.500, 0.000) [1 per cell]
Se (0.000, 0.500, 0.500) [2 per cell]

Output
calculated volume: 25.64 Å³/atom
total magnetic moment: 1.0 μB per formula unit

=====

Run Q
Here is an optimized crystal structure of RbTcAsSe2 from Alexandria. Energies are from PBE.

a b c (Å): 5.716 5.716 5.495
angles (deg): 90.00 90.00 90.00
Space group P4/mmm (No. 123)
Unique sites:
Rb (0.000, 0.000, 0.000) [1 per cell]
Tc (0.500, 0.500, 0.500) [1 per cell]
As (0.000, 0.000, 0.500) [1 per cell]
Se (0.000, 0.500, 0.000) [2 per cell]

Output
calculated volume: 35.91 Å³/atom
total magnetic moment: 4.1 μB per formula unit

=====

It is run P that is the most stable of them.

=====

Run P
Here is an optimized crystal structure of RbTeAs2Se from Alexandria. Energies are from PBE.

a b c (Å): 5.450 5.450 5.616
angles (deg): 90.00 90.00 90.00
Space group P4/mmm (No. 123)
Unique sites:
Rb (0.000, 0.000, 0.000) [1 per cell]
Te (0.500, 0.500, 0.500) [1 per cell]
As (0.000, 0.500, 0.500) [2 per cell]
Se (0.500, 0.500, 0.000) [1 per cell]

Output
calculated volume: 33.36 Å³/atom
total magnetic moment: 0.7 μB per formula unit

=====

Run Q
Here is an optimized crystal structure of RbTeAs2Se from Alexandria. Energies are from PBE.

a b c (Å): 5.662 5.662 5.647
angles (deg): 90.00 90.00 90.00
Space group P4/mmm (No. 123)
Unique sites:
Rb (0.000, 0.000, 0.000) [1 per cell]
Te (0.500, 0.500, 0.500) [1 per cell]
As (0.000, 0.500, 0.000) [2 per cell]
Se (0.000, 0.000, 0.500) [1 per cell]

Output
calculated volume: 36.20 Å³/atom
total magnetic moment: 0.4 μB per formula unit

=====

It is run P that is the most stable of them.

=====

Run P
Here is an optimized crystal structure of RbTeAsSe2 from Alexandria. Energies are from PBE.

a b c (Å): 5.565 5.565 5.455
angles (deg): 90.00 90.00 90.00
Space group P4/mmm (No. 123)
Unique sites:
Rb (0.000, 0.000, 0.000) [1 per cell]
Te (0.500, 0.500, 0.500) [1 per cell]
As (0.500, 0.500, 0.000) [1 per cell]
Se (0.000, 0.500, 0.500) [2 per cell]

Output
calculated volume: 33.78 Å³/atom
total magnetic moment: 1.4 μB per formula unit

=====

Run Q
Here is an optimized crystal structure of RbTeAsSe2 from Alexandria. Energies are from PBE.

a b c (Å): 6.516 6.516 6.646
angles (deg): 90.00 90.00 90.00
Space group P4/mmm (No. 123)
Unique sites:
Rb (0.000, 0.000, 0.000) [1 per cell]
Te (0.500, 0.500, 0.500) [1 per cell]
As (0.000, 0.000, 0.500) [1 per cell]
Se (0.000, 0.500, 0.000) [2 per cell]

Output
calculated volume: 56.44 Å³/atom
total magnetic moment: 8.1 μB per formula unit

=====

It is run P that is the most stable of them.

=====

Run P
Here is an optimized crystal structure of RbTiAs2Se from Alexandria. Energies are from PBE.

a b c (Å): 5.439 5.439 5.694
angles (deg): 90.00 90.00 90.00
Space group P4/mmm (No. 123)
Unique sites:
Rb (0.000, 0.000, 0.000) [1 per cell]
Ti (0.500, 0.500, 0.500) [1 per cell]
As (0.000, 0.500, 0.000) [2 per cell]
Se (0.000, 0.000, 0.500) [1 per cell]

Output
calculated volume: 33.69 Å³/atom
total magnetic moment: 0.0 μB per formula unit

=====

Run Q
Here is an optimized crystal structure of RbTiAs2Se from Alexandria. Energies are from PBE.

a b c (Å): 5.007 5.007 5.170
angles (deg): 90.00 90.00 90.00
Space group P4/mmm (No. 123)
Unique sites:
Rb (0.000, 0.000, 0.000) [1 per cell]
Ti (0.500, 0.500, 0.500) [1 per cell]
As (0.000, 0.500, 0.500) [2 per cell]
Se (0.500, 0.500, 0.000) [1 per cell]

Output
calculated volume: 25.93 Å³/atom
total magnetic moment: 0.0 μB per formula unit

=====

It is run Q that is the most stable of them.